CsScRe2N | PBE | optimized geometry

a = 4.9105 Å, b = 7.1698 Å, c = 4.9105 Å
α = 90.00°, β = 90.00°, γ = 90.00°
Closest atoms and distances in Å follow each position.
Fractional coordinates of all 5 atoms:
Cs 0.0000 0.5000 0.0000  4 N 3.47, 2 Sc 3.58
Re 0.0000 0.0000 0.5000  2 Sc 2.46
Re 0.5000 0.0000 0.0000  2 Sc 2.46
Sc 0.0000 0.0000 0.0000  4 Re 2.46
N 0.5000 0.5000 0.5000  4 Cs 3.47

Computed properties:
The uncorrected formation energy is 2.9203 eV per atom. As for the final energy: -5.161 eV/atom. For the density of states at the Fermi level, the calculation gives 7.2 states/eV per cell. The size of the total moment is 2.44 μB per formula unit.